Zr2InSi2: relaxed, GGA-PBEsol.

Unit cell a=3.4452 b=3.4452 c=16.2234 alpha=90.00 beta=90.00 gamma=90.00
Fractional positions:
Zr 0.0000 0.0000 0.1168
Zr 0.0000 0.0000 0.8832
Zr 0.5000 0.5000 0.3832
Zr 0.5000 0.5000 0.6168
In 0.0000 0.0000 0.5000
In 0.5000 0.5000 0.0000
Si 0.0000 0.5000 0.2500
Si 0.0000 0.5000 0.7500
Si 0.5000 0.0000 0.2500
Si 0.5000 0.0000 0.7500

Summary:
uncorrected formation energy: -46.20 kJ/mol of atoms
E: -7.010 eV per atom
SG: I4/mmm (139)